DFT (PBE) results for a relaxed PmYSe2O crystal.

a = 4.0382 Å, b = 4.0382 Å, c = 14.5942 Å
α = 90.00°, β = 90.00°, γ = 90.00°
Fractional positions:
Se 0.0000 0.5000 0.0886
Se 0.5000 0.0000 0.3054
Se 0.5000 0.0000 0.9114
Se 0.0000 0.5000 0.6946
Y 0.0000 0.5000 0.8749
Y 0.5000 0.0000 0.1251
O 0.0000 0.0000 0.5000
O 0.5000 0.5000 0.5000
Pm 0.0000 0.5000 0.4200
Pm 0.5000 0.0000 0.5800

Summary:
total moment	0.000	μB/f.u.
E_tot	-0.25833	hartree per atom
formation energy without anion corrections	-2.401	eV per atom
Fermi-level density of states	1.00	states/eV/f.u.



DFT (PBE) results for a relaxed LaReBr2 crystal.

a = 5.1754 Å, b = 5.1754 Å, c = 5.1754 Å
α = 60.00°, β = 60.00°, γ = 60.00°
Fractional positions:
Br 0.7500 0.7500 0.7500
Br 0.2500 0.2500 0.2500
Re 0.5000 0.5000 0.5000
La 0.0000 0.0000 0.0000

Summary:
total moment	3.899	μB/f.u.
E_tot	-0.18209	hartree per atom
energy above the most stable polymorph in this dataset	499	meV per atom
formation energy without anion corrections	0.225	eV per atom
Fermi-level density of states	0.61	states/eV/f.u.



DFT (PBE) results for a relaxed Sc4Al2Si crystal.

a = 4.9494 Å, b = 4.9494 Å, c = 7.7330 Å
α = 71.34°, β = 71.34°, γ = 90.00°
Fractional positions:
Sc 0.0000 0.5000 0.0000
Sc 0.8146 0.8146 0.3708
Sc 0.5000 0.0000 0.0000
Sc 0.1854 0.1854 0.6292
Al 0.3880 0.3880 0.2240
Al 0.6120 0.6120 0.7760
Si 0.0000 0.0000 0.0000

Summary:
total moment	0.000	μB/f.u.
E_tot	-0.20470	hartree per atom
formation energy without anion corrections	-0.108	eV per atom
Fermi-level density of states	1.66	states/eV/f.u.



DFT (PBE) results for a relaxed CrCu2Rh crystal.

a = 4.4412 Å, b = 2.6697 Å, c = 4.4961 Å
α = 85.49°, β = 90.00°, γ = 90.00°
Fractional positions:
Cu 0.0000 0.9941 0.9983
Cu 0.0000 0.5059 0.5017
Cr 0.5000 0.7500 0.7500
Rh 0.5000 0.2500 0.2500

Summary:
total moment	2.899	μB/f.u.
E_tot	-0.22312	hartree per atom
energy relative to the elements	0.220	eV per atom
Fermi-level density of states	5.02	states/eV/f.u.



DFT (PBE) results for a relaxed TaCuTe crystal.

a = 4.7716 Å, b = 4.7716 Å, c = 2.9317 Å
α = 90.00°, β = 90.00°, γ = 120.00°
Fractional positions:
Ta 0.3333 0.6667 0.4999
Te 0.6667 0.3333 0.5005
Cu 0.0000 0.0000 0.9997

Summary:
total moment	0.000	μB/f.u.
E_tot	-0.21304	hartree per atom
energy above the most stable polymorph in this dataset	359	meV per atom
formation energy without anion corrections	0.566	eV per atom
Fermi-level density of states	2.74	states/eV/f.u.



DFT (PBE) results for a relaxed AcNdSbO5 crystal.

a = 6.4090 Å, b = 6.4090 Å, c = 8.4045 Å
α = 106.80°, β = 106.80°, γ = 103.06°
Fractional positions:
O 0.7282 0.6231 0.4062
O 0.1129 0.6527 0.9051
O 0.3769 0.2718 0.0938
O 0.6527 0.1129 0.4051
O 0.6231 0.7282 0.9062
O 0.3473 0.8871 0.5949
O 0.9103 0.0897 0.7500
O 0.2718 0.3769 0.5938
O 0.8871 0.3473 0.0949
O 0.0897 0.9103 0.2500
Ac 0.3187 0.6813 0.2500
Ac 0.6813 0.3187 0.7500
Sb 0.6881 0.3119 0.2500
Sb 0.3119 0.6881 0.7500
Nd 0.0000 0.0000 0.0000
Nd 0.0000 0.0000 0.5000

Summary:
total moment	0.815	μB/f.u.
E_tot	-0.26461	hartree per atom
formation energy without anion corrections	-2.477	eV per atom
Fermi-level density of states	2.38	states/eV/f.u.



DFT (PBE) results for a relaxed RbP2PdS crystal.

a = 4.6927 Å, b = 4.6927 Å, c = 5.3990 Å
α = 90.00°, β = 90.00°, γ = 90.00°
Fractional positions:
P 0.5000 0.0000 0.0000
P 0.0000 0.5000 0.0000
S 0.0000 0.0000 0.5000
Rb 0.5000 0.5000 0.5000
Pd 0.0000 0.0000 0.0000

Summary:
total moment	0.612	μB/f.u.
E_tot	-0.14562	hartree per atom
energy above the most stable polymorph in this dataset	0	meV per atom
formation energy without anion corrections	0.259	eV per atom
Fermi-level density of states	3.17	states/eV/f.u.



DFT (PBE) results for a relaxed RbPm2As2O6 crystal.

a = 6.5990 Å, b = 7.0863 Å, c = 7.6925 Å
α = 127.04°, β = 87.25°, γ = 65.84°
Fractional positions:
Rb 0.5000 0.0000 0.5000
O 0.3789 0.6884 0.9692
O 0.8428 0.0956 0.4220
O 0.9508 0.4403 0.1543
O 0.1572 0.9044 0.5780
O 0.6211 0.3116 0.0308
O 0.0492 0.5597 0.8457
As 0.8184 0.2743 0.1753
As 0.1816 0.7257 0.8247
Pm 0.8376 0.3388 0.7817
Pm 0.1624 0.6612 0.2183

Summary:
total moment	1.024	μB/f.u.
E_tot	-0.24009	hartree per atom
formation energy without anion corrections	-2.032	eV per atom
Fermi-level density of states	0.97	states/eV/f.u.



no.,V (Å³/atom)
1,23.798
2,24.506
3,24.132
4,13.286
5,19.270
6,18.611
7,23.779
8,21.782